[1]
This record from Alexandria describes crystalline Ho5Mg4Tl at its relaxed geometry. The functional is PBE.

Cell lengths 3.7840, 3.7840, 18.7788 Å; angles 90.00, 90.00, 90.00 degrees
Closest atoms and distances in Å follow each position.
Fractional coordinates of all 10 atoms:
Ho  0.0000  0.0000  0.0000  8 Mg 3.27
Ho  0.0000  0.0000  0.2003  8 Mg 3.24-3.27
Ho  0.0000  0.0000  0.3982  4 Mg 3.27, 4 Tl 3.29
Ho  0.0000  0.0000  0.6018  4 Mg 3.27, 4 Tl 3.29
Ho  0.0000  0.0000  0.7997  8 Mg 3.24-3.27
Mg  0.5000  0.5000  0.1002  8 Ho 3.27
Mg  0.5000  0.5000  0.2978  8 Ho 3.24-3.27
Mg  0.5000  0.5000  0.7022  8 Ho 3.24-3.27
Mg  0.5000  0.5000  0.8998  8 Ho 3.27
Tl  0.5000  0.5000  0.5000  8 Ho 3.29

Results
The crystal system is tetragonal. As for the symmetry: No. 123. The calculated formation energy comes out at -0.1335 eV/atom. Its electronic total energy is -3.297 eV/atom. The total magnetic moment is 0.00 μB/cell.


[2]
This record from Alexandria describes crystalline Ho3MgTl2 at its relaxed geometry. The functional is PBE.

Cell lengths 3.7572, 3.7572, 11.3848 Å; angles 90.00, 90.00, 90.00 degrees
Closest atoms and distances in Å follow each position.
Fractional coordinates of all 6 atoms:
Ho  0.0000  0.0000  0.0000  8 Tl 3.32
Ho  0.0000  0.0000  0.3402  4 Mg 3.22, 4 Tl 3.26
Ho  0.0000  0.0000  0.6598  4 Mg 3.22, 4 Tl 3.26
Mg  0.5000  0.5000  0.5000  8 Ho 3.22
Tl  0.5000  0.5000  0.1749  8 Ho 3.26-3.32
Tl  0.5000  0.5000  0.8251  8 Ho 3.26-3.32

Results
The crystal system is tetragonal. As for the symmetry: No. 123. The calculated formation energy comes out at -0.2546 eV/atom. Its electronic total energy is -3.598 eV/atom. As for the energy relative to the lowest polymorph listed for this composition: 0.07 eV/f.u. The total magnetic moment is 0.00 μB/cell.


[3]
This record from Alexandria describes crystalline HoMg4Tl5 at its relaxed geometry. The functional is PBE.

Cell lengths 3.6848, 3.6848, 18.4476 Å; angles 90.00, 90.00, 90.00 degrees
Closest atoms and distances in Å follow each position.
Fractional coordinates of all 10 atoms:
Ho  0.0000  0.0000  0.0000  8 Tl 3.28
Mg  0.0000  0.0000  0.2052  8 Tl 3.16-3.17
Mg  0.0000  0.0000  0.4005  8 Tl 3.17-3.19
Mg  0.0000  0.0000  0.5995  8 Tl 3.17-3.19
Mg  0.0000  0.0000  0.7948  8 Tl 3.16-3.17
Tl  0.5000  0.5000  0.1079  4 Mg 3.16, 4 Ho 3.28
Tl  0.5000  0.5000  0.3030  8 Mg 3.17
Tl  0.5000  0.5000  0.5000  8 Mg 3.19
Tl  0.5000  0.5000  0.6970  8 Mg 3.17
Tl  0.5000  0.5000  0.8921  4 Mg 3.16, 4 Ho 3.28

Results
The crystal system is tetragonal. As for the symmetry: No. 123. The calculated formation energy comes out at -0.0889 eV/atom. Its electronic total energy is -2.368 eV/atom. The total magnetic moment is 0.00 μB/cell.


[4]
This record from Alexandria describes crystalline HoMg2Tl at its relaxed geometry. The functional is PBE.

Cell lengths 5.1917, 5.1917, 5.1917 Å; angles 60.00, 60.00, 60.00 degrees
Closest atoms and distances in Å follow each position.
Fractional coordinates of all 4 atoms:
Ho  0.0000  0.0000  0.0000  8 Mg 3.18
Mg  0.2500  0.2500  0.2500  4 Tl 3.18, 4 Ho 3.18
Mg  0.7500  0.7500  0.7500  4 Tl 3.18, 4 Ho 3.18
Tl  0.5000  0.5000  0.5000  8 Mg 3.18

Results
The crystal system is cubic. As for the symmetry: No. 225. The calculated formation energy comes out at -0.0132 eV/atom. Its electronic total energy is -2.546 eV/atom. As for the energy relative to the lowest polymorph listed for this composition: 0.77 eV/f.u. The total magnetic moment is 0.00 μB/cell.


[5]
This record from Alexandria describes crystalline Ho3Mg2Tl at its relaxed geometry. The functional is PBE.

Cell lengths 3.7978, 3.7978, 11.1808 Å; angles 90.00, 90.00, 90.00 degrees
Closest atoms and distances in Å follow each position.
Fractional coordinates of all 6 atoms:
Ho  0.0000  0.0000  0.0000  8 Mg 3.24
Ho  0.0000  0.0000  0.3309  4 Mg 3.28, 4 Tl 3.28
Ho  0.0000  0.0000  0.6691  4 Mg 3.28, 4 Tl 3.28
Mg  0.5000  0.5000  0.1627  8 Ho 3.24-3.28
Mg  0.5000  0.5000  0.8373  8 Ho 3.24-3.28
Tl  0.5000  0.5000  0.5000  8 Ho 3.28

Results
The crystal system is tetragonal. As for the symmetry: No. 123. The calculated formation energy comes out at -0.1683 eV/atom. Its electronic total energy is -3.383 eV/atom. The total magnetic moment is 0.00 μB/cell.


[6]
This record from Alexandria describes crystalline Ho7Mg4Tl at its relaxed geometry. The functional is PBE.

Cell lengths 7.9035, 7.9035, 9.5921 Å; angles 117.05, 117.05, 42.27 degrees
Closest atoms and distances in Å follow each position.
Fractional coordinates of all 12 atoms:
Ho  0.0000  0.0000  0.0000  2 Tl 2.85, 2 Mg 3.12
Ho  0.2661  0.2661  0.7361  4 Mg 3.08-3.26, 1 Tl 3.13, 2 Ho 3.41-3.43
Ho  0.3243  0.3243  0.1288  1 Tl 3.37, 7 Ho 3.43-3.71, 2 Mg 3.44
Ho  0.4079  0.4079  0.5416  5 Mg 3.05-3.39, 1 Ho 3.18
Ho  0.5921  0.5921  0.4584  5 Mg 3.05-3.39, 1 Ho 3.18
Ho  0.6757  0.6757  0.8712  1 Tl 3.37, 7 Ho 3.43-3.71, 2 Mg 3.44
Ho  0.7339  0.7339  0.2639  4 Mg 3.08-3.26, 1 Tl 3.13, 2 Ho 3.41-3.43
Mg  0.0423  0.0423  0.6810  2 Mg 2.99-3.06, 1 Ho 3.08
Mg  0.1714  0.1714  0.3581  1 Mg 2.99, 5 Ho 3.05-3.26
Mg  0.8286  0.8286  0.6419  1 Mg 2.99, 5 Ho 3.05-3.26
Mg  0.9577  0.9577  0.3190  2 Mg 2.99-3.06, 1 Ho 3.08
Tl  0.5000  0.5000  0.0000  4 Ho 2.85-3.13

Results
The crystal system is monoclinic. As for the symmetry: No. 12. The calculated formation energy comes out at 0.0913 eV/atom. Its electronic total energy is -3.308 eV/atom. The total magnetic moment is 0.00 μB/cell.


[7]
This record from Alexandria describes crystalline Ho6MgTl5 at its relaxed geometry. The functional is PBE.

Cell lengths 6.4036, 6.4036, 9.9651 Å; angles 96.19, 96.19, 120.17 degrees
Closest atoms and distances in Å follow each position.
Fractional coordinates of all 12 atoms:
Ho  0.0809  0.4164  0.7488  5 Tl 3.22-3.24, 1 Mg 3.25
Ho  0.2480  0.2480  0.2504  5 Tl 3.22-3.24, 1 Mg 3.25
Ho  0.4164  0.0809  0.7488  5 Tl 3.22-3.24, 1 Mg 3.25
Ho  0.5836  0.9191  0.2512  5 Tl 3.22-3.24, 1 Mg 3.25
Ho  0.7520  0.7520  0.7496  5 Tl 3.22-3.24, 1 Mg 3.25
Ho  0.9191  0.5836  0.2512  5 Tl 3.22-3.24, 1 Mg 3.25
Mg  0.5000  0.5000  0.0000  6 Ho 3.25
Tl  0.0000  0.0000  0.5000  6 Ho 3.22-3.23
Tl  0.1674  0.8326  0.0000  6 Ho 3.23-3.24
Tl  0.3340  0.6660  0.5000  6 Ho 3.22-3.23
Tl  0.6660  0.3340  0.5000  6 Ho 3.22-3.23
Tl  0.8326  0.1674  0.0000  6 Ho 3.23-3.24

Results
The crystal system is monoclinic. As for the symmetry: No. 12. The calculated formation energy comes out at -0.2011 eV/atom. Its electronic total energy is -3.609 eV/atom. As for the energy relative to the lowest polymorph listed for this composition: 1.15 eV/f.u. The total magnetic moment is 0.00 μB/cell.


[8]
This record from Alexandria describes crystalline Ho4MgTl3 at its relaxed geometry. The functional is PBE.

Cell lengths 3.7642, 4.8487, 12.1548 Å; angles 90.00, 90.00, 90.00 degrees
Closest atoms and distances in Å follow each position.
Fractional coordinates of all 8 atoms:
Ho  0.0000  0.0000  0.0000  6 Tl 3.21-3.53, 1 Mg 3.28
Ho  0.0000  0.5000  0.3164  7 Tl 3.19-3.47
Ho  0.5000  0.0000  0.5027  5 Tl 3.12-3.22, 2 Mg 3.34
Ho  0.5000  0.5000  0.8205  3 Tl 3.12-3.45, 4 Mg 3.26
Mg  0.0000  0.0000  0.7302  2 Tl 3.01, 7 Ho 3.26-3.34
Tl  0.0000  0.5000  0.5828  2 Mg 3.01, 5 Ho 3.22-3.24
Tl  0.5000  0.0000  0.2461  5 Ho 3.12-3.19, 2 Tl 3.18
Tl  0.5000  0.5000  0.0770  7 Ho 3.12-3.47, 2 Tl 3.18

Results
The crystal system is orthorhombic. As for the symmetry: No. 25. The calculated formation energy comes out at -0.2268 eV/atom. Its electronic total energy is -3.602 eV/atom. As for the energy relative to the lowest polymorph listed for this composition: 0.38 eV/f.u. The total magnetic moment is 0.00 μB/cell.


[9]
This record from Alexandria describes crystalline Ho7MgTl4 at its relaxed geometry. The functional is PBE.

Cell lengths 7.9696, 7.9696, 9.4902 Å; angles 118.77, 118.77, 42.49 degrees
Closest atoms and distances in Å follow each position.
Fractional coordinates of all 12 atoms:
Ho  0.0000  0.0000  0.0000  2 Mg 2.89, 2 Tl 2.98
Ho  0.2534  0.2534  0.7146  4 Tl 3.00-3.15, 1 Mg 3.24
Ho  0.2979  0.2979  0.1201  3 Tl 3.29-3.53, 6 Ho 3.49-3.55
Ho  0.4314  0.4314  0.5964  3 Tl 3.17-3.25, 3 Ho 3.36-3.50, 1 Mg 3.42
Ho  0.5686  0.5686  0.4036  3 Tl 3.17-3.25, 3 Ho 3.36-3.50, 1 Mg 3.42
Ho  0.7021  0.7021  0.8799  3 Tl 3.29-3.53, 6 Ho 3.49-3.55
Ho  0.7466  0.7466  0.2854  4 Tl 3.00-3.15, 1 Mg 3.24
Mg  0.5000  0.5000  0.0000  2 Ho 2.89
Tl  0.0479  0.0479  0.7038  4 Ho 3.00-3.25, 1 Tl 3.27
Tl  0.1858  0.1858  0.3418  6 Ho 2.98-3.29, 1 Tl 3.27
Tl  0.8142  0.8142  0.6582  6 Ho 2.98-3.29, 1 Tl 3.27
Tl  0.9521  0.9521  0.2962  4 Ho 3.00-3.25, 1 Tl 3.27

Results
The crystal system is monoclinic. As for the symmetry: No. 12. The calculated formation energy comes out at -0.0397 eV/atom. Its electronic total energy is -3.632 eV/atom. The total magnetic moment is 0.00 μB/cell.


[10]
This record from Alexandria describes crystalline Ho2MgTl9 at its relaxed geometry. The functional is PBE.

Cell lengths 4.7711, 4.7711, 14.3161 Å; angles 90.00, 90.00, 90.00 degrees
Closest atoms and distances in Å follow each position.
Fractional coordinates of all 12 atoms:
Ho  0.0000  0.0000  0.1616  12 Tl 3.32-3.45
Ho  0.0000  0.0000  0.8384  12 Tl 3.32-3.45
Mg  0.0000  0.0000  0.5000  12 Tl 3.35-3.37
Tl  0.0000  0.5000  0.0000  4 Ho 3.32, 8 Tl 3.37-3.39
Tl  0.0000  0.5000  0.3353  8 Tl 3.35-3.38, 2 Mg 3.35, 2 Ho 3.45
Tl  0.0000  0.5000  0.6647  8 Tl 3.35-3.38, 2 Mg 3.35, 2 Ho 3.45
Tl  0.5000  0.0000  0.0000  4 Ho 3.32, 8 Tl 3.37-3.39
Tl  0.5000  0.0000  0.3353  8 Tl 3.35-3.38, 2 Mg 3.35, 2 Ho 3.45
Tl  0.5000  0.0000  0.6647  8 Tl 3.35-3.38, 2 Mg 3.35, 2 Ho 3.45
Tl  0.5000  0.5000  0.1679  4 Ho 3.37, 8 Tl 3.38-3.39
Tl  0.5000  0.5000  0.5000  8 Tl 3.35, 4 Mg 3.37
Tl  0.5000  0.5000  0.8321  4 Ho 3.37, 8 Tl 3.38-3.39

Results
The crystal system is tetragonal. As for the symmetry: No. 123. The calculated formation energy comes out at -0.1148 eV/atom. Its electronic total energy is -2.785 eV/atom. The total magnetic moment is 0.00 μB/cell.


[11]
This record from Alexandria describes crystalline Ho3MgTl2 at its relaxed geometry. The functional is PBE.

Cell lengths 8.1871, 8.1871, 4.0385 Å; angles 90.00, 90.00, 143.69 degrees
Closest atoms and distances in Å follow each position.
Fractional coordinates of all 6 atoms:
Ho  0.0000  0.0000  0.0000  4 Tl 3.17, 4 Mg 3.25
Ho  0.3302  0.6698  0.0000  6 Tl 3.26-3.37, 2 Mg 3.32, 2 Ho 3.57
Ho  0.6698  0.3302  0.0000  6 Tl 3.26-3.37, 2 Mg 3.32, 2 Ho 3.57
Mg  0.5000  0.5000  0.5000  8 Ho 3.25-3.32, 4 Tl 3.53
Tl  0.1567  0.8433  0.5000  8 Ho 3.17-3.37, 2 Mg 3.53
Tl  0.8433  0.1567  0.5000  8 Ho 3.17-3.37, 2 Mg 3.53

Results
The crystal system is orthorhombic. As for the symmetry: No. 65. The calculated formation energy comes out at -0.2664 eV/atom. Its electronic total energy is -3.610 eV/atom. As for the energy relative to the lowest polymorph listed for this composition: 0.00 eV/f.u. The total magnetic moment is 0.00 μB/cell.


[12]
This record from Alexandria describes crystalline Ho4Mg3Tl at its relaxed geometry. The functional is PBE.

Cell lengths 3.7794, 3.7794, 15.0662 Å; angles 90.00, 90.00, 90.00 degrees
Closest atoms and distances in Å follow each position.
Fractional coordinates of all 8 atoms:
Ho  0.0000  0.0000  0.1262  8 Mg 3.23-3.28
Ho  0.0000  0.0000  0.3724  4 Mg 3.27, 4 Tl 3.29
Ho  0.0000  0.0000  0.6276  4 Mg 3.27, 4 Tl 3.29
Ho  0.0000  0.0000  0.8738  8 Mg 3.23-3.28
Mg  0.5000  0.5000  0.0000  8 Ho 3.28
Mg  0.5000  0.5000  0.2472  8 Ho 3.23-3.27
Mg  0.5000  0.5000  0.7528  8 Ho 3.23-3.27
Tl  0.5000  0.5000  0.5000  8 Ho 3.29

Results
The crystal system is tetragonal. As for the symmetry: No. 123. The calculated formation energy comes out at -0.1481 eV/atom. Its electronic total energy is -3.331 eV/atom. As for the energy relative to the lowest polymorph listed for this composition: 0.00 eV/f.u. The total magnetic moment is 0.00 μB/cell.